(1)
Compound: AlSnGe3
Source: Alexandria
Functional: GGA-PBE
Structure: optimized geometry

Energy above the most stable polymorph in this dataset (meV/atom): 511.7
ΔE_f (eV per atom): 1.009
DOS(E_F) (states/eV per atom): 0.82
Final energy (eV per atom): -3.310

a = 5.286 Å, b = 5.286 Å, c = 5.286 Å
α = 90.00°, β = 90.00°, γ = 90.00°
Element x y z (fractional)
Al 0.500 0.500 0.500
Sn 0.000 0.000 0.000
Ge 0.000 0.000 0.500
Ge 0.500 0.000 0.000
Ge 0.000 0.500 0.000

(2)
Compound: Al3SnGe
Source: Alexandria
Functional: GGA-PBE
Structure: optimized geometry

Energy above the most stable polymorph in this dataset (meV/atom): 0.0
ΔE_f (eV per atom): 0.509
DOS(E_F) (states/eV per atom): 0.62
Final energy (eV per atom): -3.460

a = 4.906 Å, b = 4.906 Å, c = 4.906 Å
α = 90.00°, β = 90.00°, γ = 90.00°
Element x y z (fractional)
Ge 0.000 0.000 0.000
Sn 0.500 0.500 0.500
Al 0.000 0.500 0.000
Al 0.000 0.000 0.500
Al 0.500 0.000 0.000

(3)
Compound: Al2SnGe
Source: Alexandria
Functional: GGA-PBE
Structure: optimized geometry

Energy above the most stable polymorph in this dataset (meV/atom): 0.0
ΔE_f (eV per atom): 0.133
DOS(E_F) (states/eV per atom): 0.24
Final energy (eV per atom): -3.893

a = 3.821 Å, b = 3.821 Å, c = 7.138 Å
α = 74.48°, β = 74.48°, γ = 60.00°
Element x y z (fractional)
Sn 0.500 0.500 0.500
Al 0.264 0.264 0.207
Al 0.736 0.736 0.793
Ge 0.000 0.000 0.000

(4)
Compound: Al2SnGe
Source: Alexandria
Functional: GGA-PBE
Structure: optimized geometry

Energy above the most stable polymorph in this dataset (meV/atom): 153.8
ΔE_f (eV per atom): 0.287
DOS(E_F) (states/eV per atom): 0.63
Final energy (eV per atom): -3.739

a = 6.266 Å, b = 6.266 Å, c = 7.129 Å
α = 63.93°, β = 63.93°, γ = 90.00°
Element x y z (fractional)
Al 0.160 0.625 0.250
Al 0.590 0.125 0.250
Al 0.875 0.840 0.750
Al 0.375 0.410 0.750
Ge 0.250 0.750 0.500
Ge 0.500 0.500 0.000
Sn 0.750 0.250 0.500
Sn 0.000 0.000 0.000